1) # K2NaGe2, relaxed, DFT PBE-GGA
# Total magnetization ... 0.00 μB/f.u.
# Crystal system ... monoclinic
data_K2NaGe2
_cell_length_a 4.248
_cell_length_b 7.380
_cell_length_c 5.721
_cell_angle_alpha 83.92
_cell_angle_beta 111.79
_cell_angle_gamma 90.00
_symmetry_space_group_name_H-M 'P 1'
_symmetry_Int_Tables_number 1
loop_
_symmetry_equiv_pos_as_xyz
'x,y,z'
loop_
_atom_site_label
_atom_site_type_symbol
_atom_site_fract_x
_atom_site_fract_y
_atom_site_fract_z
K1 K 0.372 0.354 0.743
K2 K 0.628 0.646 0.257
Na1 Na 0.000 0.000 0.000
Ge1 Ge 0.714 0.097 0.427
Ge2 Ge 0.286 0.903 0.573



2) # K2NaGe2, relaxed, DFT PBE-GGA
# Total magnetization ... 0.00 μB/f.u.
# Crystal system ... tetragonal
data_K2NaGe2
_cell_length_a 8.262
_cell_length_b 8.262
_cell_length_c 5.192
_cell_angle_alpha 90.00
_cell_angle_beta 90.00
_cell_angle_gamma 90.00
_symmetry_space_group_name_H-M 'P 1'
_symmetry_Int_Tables_number 1
loop_
_symmetry_equiv_pos_as_xyz
'x,y,z'
loop_
_atom_site_label
_atom_site_type_symbol
_atom_site_fract_x
_atom_site_fract_y
_atom_site_fract_z
Na1 Na 0.000 0.000 0.000
Na2 Na 0.500 0.500 0.000
Ge1 Ge 0.400 0.900 0.000
Ge2 Ge 0.900 0.600 0.000
Ge3 Ge 0.600 0.100 0.000
Ge4 Ge 0.100 0.400 0.000
K1 K 0.186 0.686 0.500
K2 K 0.686 0.814 0.500
K3 K 0.814 0.314 0.500
K4 K 0.314 0.186 0.500



Q: Which of them is the least stable? A: 2).



1) # Na8B13C3, relaxed, DFT PBE-GGA
# Total magnetization ... 0.00 μB/f.u.
# Crystal system ... orthorhombic
data_Na8B13C3
_cell_length_a 9.123
_cell_length_b 9.123
_cell_length_c 5.232
_cell_angle_alpha 90.00
_cell_angle_beta 90.00
_cell_angle_gamma 143.40
_symmetry_space_group_name_H-M 'P 1'
_symmetry_Int_Tables_number 1
loop_
_symmetry_equiv_pos_as_xyz
'x,y,z'
loop_
_atom_site_label
_atom_site_type_symbol
_atom_site_fract_x
_atom_site_fract_y
_atom_site_fract_z
Na1 Na 0.251 0.250 0.500
Na2 Na 0.500 0.001 0.500
Na3 Na 0.000 0.000 0.999
Na4 Na 0.250 0.750 0.999
Na5 Na 0.750 0.749 0.500
Na6 Na 0.999 0.500 0.500
Na7 Na 0.501 0.499 0.999
Na8 Na 0.749 0.251 0.999
C1 C 0.375 0.625 0.662
C2 C 0.125 0.875 0.337
C3 C 0.875 0.125 0.662
B1 B 0.625 0.375 0.332
B2 B 0.625 0.875 0.152
B3 B 0.875 0.125 0.365
B4 B 0.362 0.112 0.176
B5 B 0.372 0.122 0.847
B6 B 0.625 0.875 0.820
B7 B 0.125 0.875 0.637
B8 B 0.125 0.375 0.152
B9 B 0.375 0.625 0.365
B10 B 0.888 0.638 0.176
B11 B 0.878 0.628 0.847
B12 B 0.125 0.375 0.820
B13 B 0.625 0.375 0.654



2) # Na8B13C3, relaxed, DFT PBE-GGA
# Total magnetization ... 0.00 μB/f.u.
# Crystal system ... orthorhombic
data_Na8B13C3
_cell_length_a 2.805
_cell_length_b 5.318
_cell_length_c 17.353
_cell_angle_alpha 90.00
_cell_angle_beta 90.00
_cell_angle_gamma 90.00
_symmetry_space_group_name_H-M 'P 1'
_symmetry_Int_Tables_number 1
loop_
_symmetry_equiv_pos_as_xyz
'x,y,z'
loop_
_atom_site_label
_atom_site_type_symbol
_atom_site_fract_x
_atom_site_fract_y
_atom_site_fract_z
Na1 Na 0.000 0.999 0.500
Na2 Na 0.000 0.999 0.250
Na3 Na 0.500 0.501 0.500
Na4 Na 0.500 0.501 0.250
Na5 Na 0.000 0.998 0.999
Na6 Na 0.000 0.998 0.751
Na7 Na 0.500 0.502 0.000
Na8 Na 0.500 0.502 0.750
C1 C 0.500 0.838 0.124
C2 C 0.000 0.661 0.875
C3 C 0.500 0.838 0.626
B1 B 0.500 0.155 0.375
B2 B 0.000 0.350 0.125
B3 B 0.500 0.135 0.124
B4 B 0.000 0.344 0.375
B5 B 0.000 0.656 0.375
B6 B 0.000 0.682 0.124
B7 B 0.500 0.844 0.375
B8 B 0.500 0.150 0.875
B9 B 0.000 0.350 0.625
B10 B 0.500 0.135 0.626
B11 B 0.000 0.365 0.875
B12 B 0.000 0.682 0.626
B13 B 0.500 0.819 0.875



Q: Which of them is the least stable? A: 1).